1.
# PBE-GGA SrZnGa3, relaxed
# **ΔH_f (0 K)**: -0.40 eV per atom
data_SrZnGa3
_chemical_formula_sum 'Sr1 Zn1 Ga3'
_cell_length_a 4.395
_cell_length_b 4.396
_cell_length_c 6.311
_cell_angle_alpha 69.64
_cell_angle_beta 69.64
_cell_angle_gamma 89.85
_space_group_name_H-M_alt 'P 1'
_space_group_IT_number 1
_space_group_name_Hall 'P 1'
loop_
_atom_site_label
_atom_site_fract_x
_atom_site_fract_y
_atom_site_fract_z
Sr1 0.402 0.205 0.902
Zn1 0.019 0.822 0.669
Ga1 0.649 0.953 0.406
Ga2 0.150 0.453 0.406
Ga3 0.789 0.592 0.128

=====

2.
# PBE-GGA SrZn2Ga3, relaxed
# **ΔH_f (0 K)**: -0.25 eV per atom
data_SrZn2Ga3
_chemical_formula_sum 'Sr1 Zn2 Ga3'
_cell_length_a 5.710
_cell_length_b 5.710
_cell_length_c 4.340
_cell_angle_alpha 90.00
_cell_angle_beta 90.00
_cell_angle_gamma 120.00
_space_group_name_H-M_alt 'P 1'
_space_group_IT_number 1
_space_group_name_Hall 'P 1'
loop_
_atom_site_label
_atom_site_fract_x
_atom_site_fract_y
_atom_site_fract_z
Sr1 0.000 0.000 0.500
Zn1 0.667 0.333 0.500
Zn2 0.333 0.667 0.500
Ga1 0.500 0.000 0.000
Ga2 0.500 0.500 0.000
Ga3 0.000 0.500 0.000

=====

3.
# PBE-GGA SrZn12Ga6, relaxed
# **ΔH_f (0 K)**: 0.02 eV per atom
data_SrZn12Ga6
_chemical_formula_sum 'Sr1 Zn12 Ga6'
_cell_length_a 7.345
_cell_length_b 7.345
_cell_length_c 7.345
_cell_angle_alpha 104.31
_cell_angle_beta 104.31
_cell_angle_gamma 104.31
_space_group_name_H-M_alt 'P 1'
_space_group_IT_number 1
_space_group_name_Hall 'P 1'
loop_
_atom_site_label
_atom_site_fract_x
_atom_site_fract_y
_atom_site_fract_z
Sr1 0.000 0.000 0.000
Zn1 0.892 0.108 0.500
Zn2 0.848 0.610 0.610
Zn3 0.610 0.610 0.848
Zn4 0.390 0.152 0.390
Zn5 0.390 0.390 0.152
Zn6 0.152 0.390 0.390
Zn7 0.108 0.500 0.892
Zn8 0.500 0.892 0.108
Zn9 0.108 0.892 0.500
Zn10 0.892 0.500 0.108
Zn11 0.500 0.108 0.892
Zn12 0.610 0.848 0.610
Ga1 0.722 0.283 0.283
Ga2 0.283 0.283 0.722
Ga3 0.283 0.722 0.283
Ga4 0.717 0.717 0.278
Ga5 0.278 0.717 0.717
Ga6 0.717 0.278 0.717

=====

4.
# PBE-GGA Sr4Zn2Ga, relaxed
# **ΔH_f (0 K)**: -0.19 eV per atom
data_Sr4Zn2Ga
_chemical_formula_sum 'Sr4 Zn2 Ga1'
_cell_length_a 5.527
_cell_length_b 5.527
_cell_length_c 9.622
_cell_angle_alpha 73.31
_cell_angle_beta 73.31
_cell_angle_gamma 60.00
_space_group_name_H-M_alt 'P 1'
_space_group_IT_number 1
_space_group_name_Hall 'P 1'
loop_
_atom_site_label
_atom_site_fract_x
_atom_site_fract_y
_atom_site_fract_z
Sr1 0.877 0.877 0.369
Sr2 0.123 0.123 0.631
Sr3 0.626 0.626 0.121
Sr4 0.374 0.374 0.879
Zn1 0.749 0.749 0.753
Zn2 0.251 0.251 0.247
Ga1 0.000 0.000 0.000

=====

5.
# PBE-GGA Sr3Zn2Ga2, relaxed
# **ΔH_f (0 K)**: -0.31 eV per atom
data_Sr3Zn2Ga2
_chemical_formula_sum 'Sr3 Zn2 Ga2'
_cell_length_a 4.464
_cell_length_b 6.316
_cell_length_c 8.539
_cell_angle_alpha 111.67
_cell_angle_beta 90.00
_cell_angle_gamma 110.69
_space_group_name_H-M_alt 'P 1'
_space_group_IT_number 1
_space_group_name_Hall 'P 1'
loop_
_atom_site_label
_atom_site_fract_x
_atom_site_fract_y
_atom_site_fract_z
Sr1 0.309 0.619 0.354
Sr2 0.691 0.381 0.646
Sr3 0.500 0.000 0.000
Zn1 0.988 0.976 0.654
Zn2 0.012 0.024 0.346
Ga1 0.805 0.609 0.070
Ga2 0.195 0.391 0.930

=====

6.
# PBE-GGA Sr3Zn2Ga4, relaxed
# **ΔH_f (0 K)**: -0.40 eV per atom
data_Sr3Zn2Ga4
_chemical_formula_sum 'Sr6 Zn4 Ga8'
_cell_length_a 4.477
_cell_length_b 4.477
_cell_length_c 26.710
_cell_angle_alpha 90.00
_cell_angle_beta 90.00
_cell_angle_gamma 120.00
_space_group_name_H-M_alt 'P 1'
_space_group_IT_number 1
_space_group_name_Hall 'P 1'
loop_
_atom_site_label
_atom_site_fract_x
_atom_site_fract_y
_atom_site_fract_z
Sr1 0.333 0.667 0.250
Sr2 0.333 0.667 0.581
Sr3 0.333 0.667 0.914
Sr4 0.333 0.667 0.084
Sr5 0.333 0.667 0.419
Sr6 0.333 0.667 0.752
Zn1 0.000 0.000 0.167
Zn2 0.000 0.000 0.500
Zn3 0.000 0.000 0.833
Zn4 0.667 0.333 0.167
Ga1 0.667 0.333 0.499
Ga2 0.667 0.333 0.834
Ga3 0.667 0.333 0.997
Ga4 0.667 0.333 0.337
Ga5 0.667 0.333 0.666
Ga6 0.000 0.000 0.330
Ga7 0.000 0.000 0.666
Ga8 0.000 0.000 0.003

=====

7.
# PBE-GGA SrZn2Ga, relaxed
# **ΔH_f (0 K)**: -0.15 eV per atom
data_SrZn2Ga
_chemical_formula_sum 'Sr2 Zn4 Ga2'
_cell_length_a 4.986
_cell_length_b 4.986
_cell_length_c 9.272
_cell_angle_alpha 74.40
_cell_angle_beta 74.40
_cell_angle_gamma 90.00
_space_group_name_H-M_alt 'P 1'
_space_group_IT_number 1
_space_group_name_Hall 'P 1'
loop_
_atom_site_label
_atom_site_fract_x
_atom_site_fract_y
_atom_site_fract_z
Sr1 0.000 0.000 0.000
Sr2 0.750 0.250 0.500
Zn1 0.375 0.125 0.250
Zn2 0.375 0.625 0.250
Zn3 0.375 0.625 0.750
Zn4 0.875 0.625 0.750
Ga1 0.500 0.500 0.000
Ga2 0.250 0.750 0.500

=====

8.
# PBE-GGA Sr5ZnGa4, relaxed
# **ΔH_f (0 K)**: -0.32 eV per atom
data_Sr5ZnGa4
_chemical_formula_sum 'Sr5 Zn1 Ga4'
_cell_length_a 3.924
_cell_length_b 3.924
_cell_length_c 19.311
_cell_angle_alpha 90.00
_cell_angle_beta 90.00
_cell_angle_gamma 90.00
_space_group_name_H-M_alt 'P 1'
_space_group_IT_number 1
_space_group_name_Hall 'P 1'
loop_
_atom_site_label
_atom_site_fract_x
_atom_site_fract_y
_atom_site_fract_z
Sr1 0.500 0.500 0.102
Sr2 0.500 0.500 0.300
Sr3 0.500 0.500 0.500
Sr4 0.500 0.500 0.700
Sr5 0.500 0.500 0.898
Zn1 0.000 0.000 0.000
Ga1 0.000 0.000 0.203
Ga2 0.000 0.000 0.399
Ga3 0.000 0.000 0.601
Ga4 0.000 0.000 0.797

=====

9.
# PBE-GGA Sr2Zn2Ga, relaxed
# **ΔH_f (0 K)**: -0.30 eV per atom
data_Sr2Zn2Ga
_chemical_formula_sum 'Sr4 Zn4 Ga2'
_cell_length_a 4.662
_cell_length_b 6.160
_cell_length_c 10.483
_cell_angle_alpha 86.23
_cell_angle_beta 77.15
_cell_angle_gamma 67.77
_space_group_name_H-M_alt 'P 1'
_space_group_IT_number 1
_space_group_name_Hall 'P 1'
loop_
_atom_site_label
_atom_site_fract_x
_atom_site_fract_y
_atom_site_fract_z
Sr1 0.681 0.296 0.343
Sr2 0.912 0.290 0.886
Sr3 0.319 0.704 0.657
Sr4 0.088 0.710 0.114
Zn1 0.083 0.272 0.561
Zn2 0.613 0.888 0.885
Zn3 0.917 0.728 0.439
Zn4 0.387 0.112 0.115
Ga1 0.617 0.112 0.653
Ga2 0.383 0.888 0.347

=====

10.
# PBE-GGA Sr3Zn2Ga, relaxed
# **ΔH_f (0 K)**: -0.24 eV per atom
data_Sr3Zn2Ga
_chemical_formula_sum 'Sr3 Zn2 Ga1'
_cell_length_a 3.922
_cell_length_b 3.922
_cell_length_c 11.635
_cell_angle_alpha 90.00
_cell_angle_beta 90.00
_cell_angle_gamma 90.00
_space_group_name_H-M_alt 'P 1'
_space_group_IT_number 1
_space_group_name_Hall 'P 1'
loop_
_atom_site_label
_atom_site_fract_x
_atom_site_fract_y
_atom_site_fract_z
Sr1 0.000 0.000 0.000
Sr2 0.000 0.000 0.664
Sr3 0.000 0.000 0.336
Zn1 0.500 0.500 0.830
Zn2 0.500 0.500 0.170
Ga1 0.500 0.500 0.500